Version 1
This record from Alexandria via LeMat-Bulk describes crystalline NaNbVPd at its relaxed geometry. The functional is PBE.

Unit cell a=2.7765 b=2.7765 c=9.3883 alpha=90.00 beta=90.00 gamma=102.65
Fractional positions:
Na  0.0000  0.0000  0.0000
Nb  0.5000  0.5000  0.6810
V  0.0000  0.0000  0.4592
Pd  0.5000  0.5000  0.2570


Version 2
This record from Alexandria via LeMat-Bulk describes crystalline NaNbVPd at its relaxed geometry. The functional is PBE.

Unit cell a=5.7512 b=5.7512 c=4.9830 alpha=108.86 beta=108.86 gamma=26.71
Fractional positions:
Na  0.0000  0.0000  0.0000
Nb  0.2042  0.2042  0.6092
V  0.7695  0.7695  0.1557
Pd  0.4625  0.4625  0.4879


Which of them is the least stable? Correct choice: version 2.


Version 1
This record from Alexandria via LeMat-Bulk describes crystalline RbNa2Nb at its relaxed geometry. The functional is PBE.

Unit cell a=5.9665 b=5.9665 c=5.9665 alpha=60.00 beta=60.00 gamma=60.00
Fractional positions:
Rb  0.0000  0.0000  0.0000
Na  0.2500  0.2500  0.2500
Na  0.7500  0.7500  0.7500
Nb  0.5000  0.5000  0.5000


Version 2
This record from Alexandria via LeMat-Bulk describes crystalline RbNa2Nb at its relaxed geometry. The functional is PBE.

Unit cell a=7.6442 b=7.6442 c=7.6442 alpha=103.25 beta=103.25 gamma=122.80
Fractional positions:
Rb  0.0000  0.0000  0.0000
Rb  0.7500  0.2500  0.5000
Na  0.1615  0.6250  0.0365
Na  0.3750  0.4115  0.5365
Na  0.5885  0.1250  0.9635
Na  0.8750  0.8385  0.4635
Nb  0.2500  0.7500  0.5000
Nb  0.5000  0.5000  0.0000


Which of them is the least stable? Correct choice: version 2.


Version 1
This record from Alexandria via LeMat-Bulk describes crystalline RbNa3Nb at its relaxed geometry. The functional is PBE.

Unit cell a=5.9761 b=5.9761 c=5.9761 alpha=90.00 beta=90.00 gamma=90.00
Fractional positions:
Rb  0.0000  0.0000  0.0000
Na  0.0000  0.0000  0.5000
Na  0.0000  0.5000  0.0000
Na  0.5000  0.0000  0.0000
Nb  0.5000  0.5000  0.5000


Version 2
This record from Alexandria via LeMat-Bulk describes crystalline RbNa3Nb at its relaxed geometry. The functional is PBE.

Unit cell a=6.2253 b=6.2253 c=6.2253 alpha=90.00 beta=90.00 gamma=90.00
Fractional positions:
Rb  0.0000  0.0000  0.0000
Na  0.0000  0.5000  0.5000
Na  0.5000  0.0000  0.5000
Na  0.5000  0.5000  0.0000
Nb  0.5000  0.5000  0.5000


Which of them is the least stable? Correct choice: version 1.